Entry 1:
Density functional theory data (PBE) for a geometry-optimized CsZn2Hg2 structure.

ΔH_f (0 K) (eV per atom): 0.0980
Density of states at the Fermi level (states/eV/f.u.): 1.968
Excess energy over the best structure of this formula in the dataset (eV per formula unit): 0.71
Space-group type: P4/mbm (127)

Cell: 9.1213 9.1213 3.5637 Å, 90.00 90.00 90.00°
Last column: nearest neighbours and their distance in Å.
Atoms (fractional coordinates):
Cs  0.0000  0.0000  0.0000  2 Cs 3.56, 4 Hg 3.58, 8 Zn 3.90
Cs  0.5000  0.5000  0.0000  2 Cs 3.56, 4 Hg 3.58, 8 Zn 3.90
Zn  0.6497  0.1497  0.5000  6 Hg 3.12-3.36
Zn  0.8503  0.6497  0.5000  6 Hg 3.12-3.36
Zn  0.3503  0.8503  0.5000  6 Hg 3.12-3.36
Zn  0.1497  0.3503  0.5000  6 Hg 3.12-3.36
Hg  0.8702  0.3702  0.0000  6 Zn 3.12-3.36, 1 Hg 3.35
Hg  0.6298  0.8702  0.0000  6 Zn 3.12-3.36, 1 Hg 3.35
Hg  0.1298  0.6298  0.0000  6 Zn 3.12-3.36, 1 Hg 3.35
Hg  0.3702  0.1298  0.0000  6 Zn 3.12-3.36, 1 Hg 3.35

***

Entry 2:
Density functional theory data (PBE) for a geometry-optimized FeAsPBr2 structure.

Density of states at the Fermi level (states/eV/f.u.): 3.948
Excess energy over the best structure of this formula in the dataset (eV per formula unit): 0.45
Formation energy without anion corrections (eV/atom): 0.86
Space-group type: P4/mmm (123)

Cell: 5.0122 5.0122 4.9721 Å, 90.00 90.00 90.00°
Last column: nearest neighbours and their distance in Å.
Atoms (fractional coordinates):
P  0.0000  0.0000  0.0000  2 As 2.49, 4 Br 2.51
As  0.0000  0.0000  0.5000  2 P 2.49
Fe  0.5000  0.5000  0.5000  8 Br 3.53, 4 As 3.54
Br  0.0000  0.5000  0.0000  2 P 2.51
Br  0.5000  0.0000  0.0000  2 P 2.51